[1]
# ScTaZnIn2, optimized geometry, DFT PBE
# DFT total energy = -0.1578 Ha/atom
# space group = No. 123
# size of the total moment = 0.00 Bohr magnetons per cell
data_ScTaZnIn2
_chemical_formula_sum 'Sc1 Ta1 Zn1 In2'
_cell_length_a 5.2642
_cell_length_b 4.9715
_cell_length_c 5.2642
_cell_angle_alpha 90.00
_cell_angle_beta 90.00
_cell_angle_gamma 90.00
_symmetry_space_group_name_H-M 'P 1'
_symmetry_Int_Tables_number 1
loop_
_symmetry_equiv_pos_as_xyz
'x,y,z'
loop_
_atom_site_label
_atom_site_fract_x
_atom_site_fract_y
_atom_site_fract_z
Sc1 0.5000 0.5000 0.5000
Zn1 0.0000 0.5000 0.0000
In1 0.0000 0.0000 0.5000
In2 0.5000 0.0000 0.0000
Ta1 0.0000 0.0000 0.0000

---

[2]
# RbUSe4, optimized geometry, DFT PBE
# DFT total energy = -0.1931 Ha/atom
# formation energy (no corrections) = -5.33 eV per formula unit
# space group = No. 125
# relative energy among the computed polymorphs = 0 meV per atom
# size of the total moment = 4.89 Bohr magnetons per cell
data_RbUSe4
_chemical_formula_sum 'Rb2 U2 Se8'
_cell_length_a 6.3218
_cell_length_b 6.3218
_cell_length_c 8.6385
_cell_angle_alpha 90.00
_cell_angle_beta 90.00
_cell_angle_gamma 90.00
_symmetry_space_group_name_H-M 'P 1'
_symmetry_Int_Tables_number 1
loop_
_symmetry_equiv_pos_as_xyz
'x,y,z'
loop_
_atom_site_label
_atom_site_fract_x
_atom_site_fract_y
_atom_site_fract_z
Rb1 0.5000 0.5000 0.5000
Rb2 0.0000 0.0000 0.5000
U1 0.5000 0.5000 0.0000
U2 0.0000 0.0000 0.0000
Se1 0.6462 0.8538 0.1915
Se2 0.1462 0.6462 0.1915
Se3 0.8538 0.3538 0.1915
Se4 0.6462 0.1462 0.8085
Se5 0.3538 0.8538 0.8085
Se6 0.3538 0.1462 0.1915
Se7 0.8538 0.6462 0.8085
Se8 0.1462 0.3538 0.8085

---

[3]
# SrCa2Pr, optimized geometry, DFT PBE
# DFT total energy = -0.0935 Ha/atom
# space group = No. 160
# relative energy among the computed polymorphs = 8 meV per atom
# size of the total moment = 0.88 Bohr magnetons per cell
data_SrCa2Pr
_chemical_formula_sum 'Sr1 Ca2 Pr1'
_cell_length_a 3.9019
_cell_length_b 3.9019
_cell_length_c 13.1281
_cell_angle_alpha 81.45
_cell_angle_beta 81.45
_cell_angle_gamma 60.00
_symmetry_space_group_name_H-M 'P 1'
_symmetry_Int_Tables_number 1
loop_
_symmetry_equiv_pos_as_xyz
'x,y,z'
loop_
_atom_site_label
_atom_site_fract_x
_atom_site_fract_y
_atom_site_fract_z
Sr1 0.6668 0.6668 0.9995
Ca1 0.0878 0.0878 0.7365
Ca2 0.2455 0.2455 0.2635
Pr1 0.4998 0.4998 0.5005

---

[4]
# ZrHPt, optimized geometry, DFT PBE
# DFT total energy = -0.2445 Ha/atom
# space group = No. 12
# relative energy among the computed polymorphs = 149 meV per atom
# size of the total moment = 0.00 Bohr magnetons per cell
data_ZrHPt
_chemical_formula_sum 'Zr4 H4 Pt4'
_cell_length_a 5.2194
_cell_length_b 3.3808
_cell_length_c 9.6099
_cell_angle_alpha 90.00
_cell_angle_beta 102.10
_cell_angle_gamma 90.00
_symmetry_space_group_name_H-M 'P 1'
_symmetry_Int_Tables_number 1
loop_
_symmetry_equiv_pos_as_xyz
'x,y,z'
loop_
_atom_site_label
_atom_site_fract_x
_atom_site_fract_y
_atom_site_fract_z
Zr1 0.8057 0.0000 0.1162
Zr2 0.1943 0.0000 0.8838
Zr3 0.8057 0.5000 0.6162
Zr4 0.1943 0.5000 0.3838
H1 0.1029 0.0000 0.2787
H2 0.8971 0.0000 0.7213
H3 0.1029 0.5000 0.7787
H4 0.8971 0.5000 0.2213
Pt1 0.6359 0.0000 0.3807
Pt2 0.3641 0.0000 0.6193
Pt3 0.6359 0.5000 0.8807
Pt4 0.3641 0.5000 0.1193

---

Number 1 is which compound?
ScTaZnIn2